Entry 1:
Sc3Re2Si4: single point on PBEsol structure, meta-GGA SCAN.

Total energy in eV per cell: -926.8
Total magnetic moment in μB/f.u.: 0.0
Volume in Å³/atom: 15.9

abc: 5.306 10.066 11.560
angles: 77.41 76.73 74.72
Fractional positions:
Si  0.395  0.563  0.892
Si  0.005  0.394  0.373
Si  0.400  0.222  0.429
Sc  0.965  0.467  0.861
Si  0.889  0.250  0.750
Re  0.829  0.245  0.282
Si  0.637  0.750  0.250
Si  0.150  0.063  0.392
Sc  0.468  0.494  0.341
Si  0.850  0.937  0.608
Si  0.949  0.722  0.929
Si  0.227  0.894  0.873
Si  0.111  0.750  0.250
Sc  0.532  0.506  0.659
Sc  0.753  0.224  0.546
Si  0.051  0.278  0.071
Si  0.773  0.106  0.127
Re  0.171  0.755  0.718
Re  0.643  0.745  0.782
Sc  0.247  0.776  0.454
Sc  0.707  0.967  0.361
Si  0.363  0.250  0.750
Re  0.140  0.373  0.576
Si  0.995  0.606  0.627
Re  0.089  0.127  0.924
Re  0.860  0.627  0.424
Sc  0.303  0.006  0.159
Sc  0.035  0.533  0.139
Re  0.911  0.873  0.076
Sc  0.697  0.994  0.841
Sc  0.523  0.276  0.954
Si  0.600  0.778  0.571
Sc  0.293  0.033  0.639
Sc  0.477  0.724  0.046
Re  0.357  0.255  0.218
Si  0.605  0.437  0.108

---

Entry 2:
InRuBr2: single point on PBEsol structure, meta-GGA SCAN.

Total energy in eV per cell: -106.7
Distance to the lowest polymorph of the same formula in meV/atom: 3
Total magnetic moment in μB/f.u.: 1.0
Volume in Å³/atom: 24.5

abc: 3.300 5.842 5.842
angles: 67.94 73.60 73.60
Site moments in Bohr magnetons follow the coordinates.
Fractional positions:
Ru  0.254  0.246  0.246  0.92
In  0.521  0.479  0.479  -0.03
Br  0.946  0.054  0.054  -0.02
Br  0.779  0.721  0.721  0.03

---

Entry 3:
TiSbO2: single point on PBEsol structure, meta-GGA SCAN.

Total energy in eV per cell: -69.8
Total magnetic moment in μB/f.u.: 0.0
Volume in Å³/atom: 14.9

abc: 3.122 3.122 7.275
angles: 77.61 77.61 60.00
Fractional positions:
Ti  0.000  0.000  0.000
O  0.087  0.087  0.738
Sb  0.500  0.500  0.500
O  0.913  0.913  0.262

---

Entry 4:
ScTc2Rh: single point on PBEsol structure, meta-GGA SCAN.

Formation energy from the elements in kJ/mol of formula units: -57.2
Total energy in eV per cell: -118.7
Distance to the lowest polymorph of the same formula in meV/atom: 51
Total magnetic moment in μB/f.u.: 0.0
Volume in Å³/atom: 14.8

abc: 2.709 5.007 5.167
angles: 115.37 99.12 102.34
Fractional positions:
Sc  0.000  0.500  0.000
Tc  0.000  0.000  0.500
Tc  0.500  0.500  0.500
Rh  0.500  0.000  0.000

---

Entry 5:
Mg2CdNi: single point on PBEsol structure, meta-GGA SCAN.

Formation energy from the elements in kJ/mol of formula units: 11.8
Total energy in eV per cell: -56.4
Total magnetic moment in μB/f.u.: 0.0
Volume in Å³/atom: 17.5

abc: 2.983 2.983 9.266
angles: 80.74 80.74 60.00
Fractional positions:
Ni  0.500  0.500  0.500
Mg  0.237  0.237  0.288
Cd  0.000  0.000  0.000
Mg  0.763  0.763  0.712

---

Entry 6:
CeNi3: single point on PBEsol structure, meta-GGA SCAN.

Formation energy from the elements in kJ/mol of formula units: -95.3
Total energy in eV per cell: -188.1
Total magnetic moment in μB/f.u.: 0.0
Volume in Å³/atom: 13.8

abc: 4.540 5.301 5.301
angles: 120.00 90.00 90.00
Fractional positions:
Ce  0.250  0.667  0.333
Ni  0.250  0.155  0.310
Ni  0.750  0.310  0.155
Ni  0.750  0.845  0.155
Ni  0.750  0.845  0.690
Ni  0.250  0.155  0.845
Ni  0.250  0.690  0.845
Ce  0.750  0.333  0.667

---

Entry 7:
Co2BiS2: single point on PBEsol structure, meta-GGA SCAN.

Total energy in eV per cell: -259.9
Total magnetic moment in μB/f.u.: 0.0
Volume in Å³/atom: 17.7

abc: 3.080 7.591 7.591
angles: 90.00 90.00 90.00
Fractional positions:
Bi  0.000  0.000  0.000
Co  0.500  0.270  0.230
Co  0.500  0.770  0.270
Co  0.500  0.230  0.730
Co  0.500  0.730  0.770
S  0.000  0.140  0.360
Bi  0.000  0.500  0.500
S  0.000  0.860  0.640
S  0.000  0.640  0.140
S  0.000  0.360  0.860

---

Entry 8:
RePdI2F: single point on PBEsol structure, meta-GGA SCAN.

Total energy in eV per cell: -175.1
Total magnetic moment in μB/f.u.: 5.5
Volume in Å³/atom: 21.9

abc: 3.910 5.293 5.293
angles: 90.00 90.00 90.00
Site moments in Bohr magnetons follow the coordinates.
Fractional positions:
I  0.000  0.500  0.000  0.13
Re  0.500  0.500  0.500  3.29
I  0.000  0.000  0.500  0.13
F  0.000  0.000  0.000  0.10
Pd  0.500  0.000  0.000  0.84

---

Entry 9:
BaSb2RuI: single point on PBEsol structure, meta-GGA SCAN.

Total energy in eV per cell: -178.3
Total magnetic moment in μB/f.u.: 4.5
Volume in Å³/atom: 46.9

abc: 6.226 6.137 6.137
angles: 90.00 90.00 90.00
Site moments in Bohr magnetons follow the coordinates.
Fractional positions:
Ba  0.000  0.000  0.000  0.02
Sb  0.000  0.500  0.000  0.25
I  0.500  0.000  0.000  0.12
Ru  0.500  0.500  0.500  2.80
Sb  0.000  0.000  0.500  0.25

---

Entry 10:
ZrAsRh2: single point on PBEsol structure, meta-GGA SCAN.

Formation energy from the elements in kJ/mol of formula units: -244.0
Total energy in eV per cell: -121.0
Total magnetic moment in μB/f.u.: 0.0
Volume in Å³/atom: 15.7

abc: 2.966 4.156 5.303
angles: 90.00 106.26 90.00
Fractional positions:
Rh  0.435  0.500  0.244
Rh  0.809  0.000  0.992
As  0.691  0.500  0.759
Zr  0.065  0.000  0.505

---

Entry 11:
TcOs: single point on PBEsol structure, meta-GGA SCAN.

Formation energy from the elements in kJ/mol of formula units: -20.8
Total energy in eV per cell: -107.2
Distance to the lowest polymorph of the same formula in meV/atom: 15
Total magnetic moment in μB/f.u.: 0.0
Volume in Å³/atom: 13.9

abc: 2.726 2.726 4.325
angles: 90.00 90.00 120.00
Fractional positions:
Tc  0.667  0.333  0.500
Os  0.000  0.000  0.000

---

Entry 12:
CsNa3Cu: single point on PBEsol structure, meta-GGA SCAN.

Formation energy from the elements in kJ/mol of formula units: 549.9
Total energy in eV per cell: -60.0
Total magnetic moment in μB/f.u.: 0.0
Volume in Å³/atom: 58.7

abc: 6.646 6.646 6.646
angles: 90.00 90.00 90.00
Fractional positions:
Cs  0.000  0.000  0.000
Na  0.500  0.000  0.000
Cu  0.500  0.500  0.500
Na  0.000  0.000  0.500
Na  0.000  0.500  0.000